! RbSrReIr2 | Alexandria via LeMat-Bulk | PBE-GGA | relaxed; values from VASP
&SYSTEM
  ibrav = 0, nat = 5, ntyp = 4
/
ATOMIC_SPECIES
Rb 85.47 Rb.upf
Sr 87.62 Sr.upf
Re 186.21 Re.upf
Ir 192.22 Ir.upf
CELL_PARAMETERS angstrom
4.9328 0.0000 0.0000
0.0000 4.9328 0.0000
0.0000 0.0000 5.2224
ATOMIC_POSITIONS angstrom
Rb 0.0000 0.0000 0.0000
Sr 0.0000 0.0000 2.6112
Re 2.4664 2.4664 2.6112
Ir 0.0000 2.4664 0.0000
Ir 2.4664 0.0000 0.0000
! ΔE_f   2.92 eV/atom
! Fermi-level density of states   0.8815 states/eV per atom
! Space-group type   P4/mmm (123)